Run 1
Sc3P: optimized geometry, PBE-GGA. Values from VASP.

```
&SYSTEM
  ibrav = 0, nat = 4, ntyp = 2
/
ATOMIC_SPECIES
Sc 44.96 Sc.upf
P 30.97 P.upf
ATOMIC_POSITIONS crystal
Sc 0.000 0.000 0.500
Sc 0.667 0.333 0.192
Sc 0.667 0.333 0.808
P 0.000 0.000 0.000
CELL_PARAMETERS angstrom
1.786 -3.093 0.000
1.786 3.093 0.000
0.000 0.000 8.318
```

Values from the calculation:
D(E_F) = 1.317 states/eV per atom

=====

Run 2
Sc3P: optimized geometry, PBE-GGA. Values from VASP.

```
&SYSTEM
  ibrav = 0, nat = 8, ntyp = 2
/
ATOMIC_SPECIES
Sc 44.96 Sc.upf
P 30.97 P.upf
ATOMIC_POSITIONS crystal
Sc 0.500 0.000 0.389
Sc 0.000 0.500 0.611
Sc 0.000 0.738 0.149
Sc 0.000 0.262 0.149
Sc 0.500 0.238 0.851
Sc 0.500 0.762 0.851
P 0.000 0.000 0.673
P 0.500 0.500 0.327
CELL_PARAMETERS angstrom
4.474 0.000 0.000
0.000 5.823 0.000
0.000 0.000 5.878
```

Values from the calculation:
D(E_F) = 0.938 states/eV per atom

=====

Run 3
Sc3P: optimized geometry, PBE-GGA. Values from VASP.

```
&SYSTEM
  ibrav = 0, nat = 4, ntyp = 2
/
ATOMIC_SPECIES
Sc 44.96 Sc.upf
P 30.97 P.upf
ATOMIC_POSITIONS crystal
Sc 0.727 0.727 0.727
Sc 0.500 0.500 0.500
Sc 0.273 0.273 0.273
P 0.000 0.000 0.000
CELL_PARAMETERS angstrom
-3.311 -7.584 2.912
-1.066 -6.737 5.517
-4.320 -5.339 5.459
```

Values from the calculation:
D(E_F) = 1.369 states/eV per atom

=====

Least stable structure: run 2

=====

Run 1
Sc3P: optimized geometry, PBE-GGA. Values from VASP.

```
&SYSTEM
  ibrav = 0, nat = 4, ntyp = 2
/
ATOMIC_SPECIES
Sc 44.96 Sc.upf
P 30.97 P.upf
ATOMIC_POSITIONS crystal
Sc 0.500 0.000 0.452
Sc 0.500 0.500 0.887
Sc 0.000 0.500 0.317
P 0.000 0.000 0.011
CELL_PARAMETERS angstrom
-0.915 -1.936 -2.907
3.485 -2.261 0.409
-2.636 -3.492 3.155
```

Values from the calculation:
D(E_F) = 0.827 states/eV per atom

=====

Run 2
Sc3P: optimized geometry, PBE-GGA. Values from VASP.

```
&SYSTEM
  ibrav = 0, nat = 16, ntyp = 2
/
ATOMIC_SPECIES
P 30.97 P.upf
Sc 44.96 Sc.upf
ATOMIC_POSITIONS crystal
P 0.571 0.876 0.750
P 0.071 0.624 0.250
P 0.929 0.376 0.750
P 0.429 0.124 0.250
Sc 0.137 0.027 0.750
Sc 0.637 0.473 0.250
Sc 0.363 0.527 0.750
Sc 0.863 0.973 0.250
Sc 0.650 0.176 0.950
Sc 0.150 0.324 0.050
Sc 0.850 0.676 0.550
Sc 0.350 0.824 0.450
Sc 0.350 0.824 0.050
Sc 0.850 0.676 0.950
Sc 0.150 0.324 0.450
Sc 0.650 0.176 0.550
CELL_PARAMETERS angstrom
-2.634 -0.761 5.036
-1.456 -6.429 -1.734
7.244 -2.558 3.403
```

Values from the calculation:
D(E_F) = 0.902 states/eV per atom

=====

Run 3
Sc3P: optimized geometry, PBE-GGA. Values from VASP.

```
&SYSTEM
  ibrav = 0, nat = 8, ntyp = 2
/
ATOMIC_SPECIES
Sc 44.96 Sc.upf
P 30.97 P.upf
ATOMIC_POSITIONS crystal
Sc 0.826 0.651 0.250
Sc 0.349 0.174 0.250
Sc 0.826 0.174 0.250
Sc 0.174 0.349 0.750
Sc 0.651 0.826 0.750
Sc 0.174 0.826 0.750
P 0.333 0.667 0.250
P 0.667 0.333 0.750
CELL_PARAMETERS angstrom
-0.321 4.280 4.389
-2.201 -5.635 1.041
4.140 -1.323 1.593
```

Values from the calculation:
D(E_F) = 1.465 states/eV per atom

=====

Least stable structure: run 1

=====

Run 1
Sc4P3: optimized geometry, PBE-GGA. Values from VASP.

```
&SYSTEM
  ibrav = 0, nat = 7, ntyp = 2
/
ATOMIC_SPECIES
Sc 44.96 Sc.upf
P 30.97 P.upf
ATOMIC_POSITIONS crystal
Sc 0.000 0.000 0.246
Sc 0.000 0.000 0.754
Sc 0.667 0.333 0.500
Sc 0.333 0.667 0.500
P 0.000 0.500 0.000
P 0.500 0.500 0.000
P 0.500 0.000 0.000
CELL_PARAMETERS angstrom
2.673 -4.629 0.000
2.673 4.629 0.000
0.000 0.000 4.921
```

Values from the calculation:
D(E_F) = 0.218 states/eV per atom

=====

Run 2
Sc4P3: optimized geometry, PBE-GGA. Values from VASP.

```
&SYSTEM
  ibrav = 0, nat = 7, ntyp = 2
/
ATOMIC_SPECIES
Sc 44.96 Sc.upf
P 30.97 P.upf
ATOMIC_POSITIONS crystal
Sc 0.808 0.808 0.000
Sc 0.192 0.192 0.000
Sc 0.565 0.565 0.000
Sc 0.435 0.435 0.000
P 0.000 0.000 0.000
P 0.684 0.684 0.000
P 0.316 0.316 0.000
CELL_PARAMETERS angstrom
-1.810 1.810 10.501
1.810 -1.810 10.501
1.810 1.810 -10.501
```

Values from the calculation:
D(E_F) = 0.603 states/eV per atom

=====

Run 3
Sc4P3: optimized geometry, PBE-GGA. Values from VASP.

```
&SYSTEM
  ibrav = 0, nat = 7, ntyp = 2
/
ATOMIC_SPECIES
Sc 44.96 Sc.upf
P 30.97 P.upf
ATOMIC_POSITIONS crystal
Sc 0.376 0.376 0.873
Sc 0.127 0.127 0.618
Sc 0.873 0.873 0.382
Sc 0.624 0.624 0.127
P 0.755 0.755 0.735
P 0.245 0.245 0.265
P 0.000 0.000 0.000
CELL_PARAMETERS angstrom
0.101 3.097 2.123
-1.393 -0.068 3.488
9.921 -2.119 5.944
```

Values from the calculation:
D(E_F) = 0.297 states/eV per atom

=====

Least stable structure: run 1

=====

Run 1
Sc4P5: optimized geometry, PBE-GGA. Values from VASP.

```
&SYSTEM
  ibrav = 0, nat = 18, ntyp = 2
/
ATOMIC_SPECIES
Sc 44.96 Sc.upf
P 30.97 P.upf
ATOMIC_POSITIONS crystal
Sc 0.000 0.000 0.000
Sc 0.000 0.000 0.500
Sc 0.000 0.382 0.250
Sc 0.618 0.618 0.250
Sc 0.382 0.000 0.250
Sc 0.000 0.618 0.750
Sc 0.382 0.382 0.750
Sc 0.618 0.000 0.750
P 0.000 0.725 0.250
P 0.275 0.275 0.250
P 0.725 0.000 0.250
P 0.000 0.275 0.750
P 0.725 0.725 0.750
P 0.275 0.000 0.750
P 0.667 0.333 0.000
P 0.333 0.667 0.500
P 0.333 0.667 0.000
P 0.667 0.333 0.500
CELL_PARAMETERS angstrom
8.128 0.000 0.000
-4.064 7.039 0.000
0.000 0.000 5.372
```

Values from the calculation:
D(E_F) = 0.447 states/eV per atom

=====

Run 2
Sc4P5: optimized geometry, PBE-GGA. Values from VASP.

```
&SYSTEM
  ibrav = 0, nat = 9, ntyp = 2
/
ATOMIC_SPECIES
Sc 44.96 Sc.upf
P 30.97 P.upf
ATOMIC_POSITIONS crystal
Sc 0.272 0.000 0.272
Sc 0.728 0.000 0.728
Sc 0.000 0.728 0.728
Sc 0.000 0.272 0.272
P 0.000 0.000 0.000
P 0.304 0.696 0.000
P 0.696 0.304 0.000
P 0.696 0.696 0.393
P 0.304 0.304 0.607
CELL_PARAMETERS angstrom
1.191 -6.435 -1.722
-3.872 4.269 3.547
-2.627 1.710 -5.997
```

Values from the calculation:
D(E_F) = 0.447 states/eV per atom

=====

Least stable structure: run 2

=====

Run 1
Sc4P: optimized geometry, PBE-GGA. Values from VASP.

```
&SYSTEM
  ibrav = 0, nat = 5, ntyp = 2
/
ATOMIC_SPECIES
Sc 44.96 Sc.upf
P 30.97 P.upf
ATOMIC_POSITIONS crystal
Sc 0.000 0.000 0.000
Sc 0.500 0.000 0.500
Sc 0.000 0.500 0.500
Sc 0.500 0.500 0.000
P 0.500 0.500 0.500
CELL_PARAMETERS angstrom
4.979 0.000 0.000
0.000 4.979 0.000
0.000 0.000 4.979
```

Values from the calculation:
D(E_F) = 1.544 states/eV per atom

=====

Run 2
Sc4P: optimized geometry, PBE-GGA. Values from VASP.

```
&SYSTEM
  ibrav = 0, nat = 5, ntyp = 2
/
ATOMIC_SPECIES
Sc 44.96 Sc.upf
P 30.97 P.upf
ATOMIC_POSITIONS crystal
Sc 0.750 0.250 0.500
Sc 0.250 0.750 0.500
Sc 0.583 0.583 0.000
Sc 0.417 0.417 0.000
P 0.000 0.000 0.000
CELL_PARAMETERS angstrom
-6.023 -6.264 2.435
-7.998 -1.722 3.810
5.873 4.194 -5.419
```

Values from the calculation:
D(E_F) = 1.151 states/eV per atom

=====

Least stable structure: run 2